# 1
## Sc2AgRu (GGA-PBE)

Data for an optimized crystal structure of Sc2AgRu.

As for the formation energy from the elements: -0.2 eV per formula unit. The value obtained for the magnetic moment is 0.00 μB per formula unit.

It has space group F-43m (No. 216), with a = 6.599 Å, b = 6.599 Å, c = 6.599 Å, α = 90.00°, β = 90.00° and γ = 90.00°. The inequivalent atoms are Sc at (0.000, 0.000, 0.000), Sc at (0.250, 0.250, 0.250), Ag at (0.250, 0.250, 0.750) and Ru at (0.000, 0.000, 0.500).

=====

# 2
## Cs6Ag (GGA-PBE)

Data for an optimized crystal structure of Cs6Ag.

As for the formation energy from the elements: 0.1 eV per formula unit. The value obtained for the magnetic moment is 0.00 μB per formula unit.

It has space group P-31m (No. 162), with a = 9.3599 Å, b = 9.3599 Å, c = 8.9671 Å, α = 90.00°, β = 90.00° and γ = 120.00°. The inequivalent atoms are Cs at (0.0000, 0.3265, 0.2549) and Ag at (0.0000, 0.0000, 0.5000).

=====

# 3
## PdPbNF2 (GGA-PBE)

Data for an optimized crystal structure of PdPbNF2.

The value obtained for the magnetic moment is 0.00 μB per formula unit. For the formation energy (no corrections), the calculation gives -0.47 eV/atom.

It has space group P4/mmm (No. 123), with a = 4.623 Å, b = 4.623 Å, c = 3.746 Å, α = 90.00°, β = 90.00° and γ = 90.00°. The inequivalent atoms are Pd at (0.000, 0.000, 0.000), Pb at (0.500, 0.500, 0.500), N at (0.000, 0.000, 0.500) and F at (0.000, 0.500, 0.000).

=====

# 4
## SrLiV2Sb (GGA-PBE)

Data for an optimized crystal structure of SrLiV2Sb.

The value obtained for the magnetic moment is 7.21 μB per formula unit. For the formation energy (no corrections), the calculation gives 0.89 eV/atom.

It has space group P4/mmm (No. 123), with a = 4.826 Å, b = 4.826 Å, c = 5.184 Å, α = 90.00°, β = 90.00° and γ = 90.00°. The inequivalent atoms are Sr at (0.000, 0.000, 0.000), Li at (0.000, 0.000, 0.500), V at (0.000, 0.500, 0.500) and Sb at (0.500, 0.500, 0.000).

=====

# 5
## TlCuAuS2 (GGA-PBE)

Data for an optimized crystal structure of TlCuAuS2.

The value obtained for the magnetic moment is 0.00 μB per formula unit. For the formation energy (no corrections), the calculation gives -0.18 eV/atom.

It has space group Cmme (No. 67), with a = 6.114 Å, b = 10.904 Å, c = 6.944 Å, α = 90.00°, β = 90.00° and γ = 90.00°. The inequivalent atoms are Tl at (0.000, 0.250, 0.237), Cu at (0.250, 0.000, 0.000), Au at (0.000, 0.000, 0.500) and S at (0.000, 0.095, 0.802).

=====

# 6
## SrLa2Cd (GGA-PBE)

Data for an optimized crystal structure of SrLa2Cd.

As for the formation energy from the elements: 0.1 eV per formula unit. The value obtained for the magnetic moment is 0.00 μB per formula unit.

It has space group C2/m (No. 12), with a = 6.850 Å, b = 12.513 Å, c = 3.718 Å, α = 90.00°, β = 117.23° and γ = 90.00°. The inequivalent atoms are Sr at (0.000, 0.000, 0.000), La at (0.250, 0.250, 0.500) and Cd at (0.000, 0.500, 0.000).

=====

# 7
## CeVOs2 (GGA-PBE)

Data for an optimized crystal structure of CeVOs2.

As for the formation energy from the elements: 0.3 eV per formula unit. The value obtained for the magnetic moment is 0.00 μB per formula unit.

It has space group R-3m (No. 166, hexagonal axes), with a = 4.1177 Å, b = 4.1177 Å, c = 15.3202 Å, α = 90.00°, β = 90.00° and γ = 120.00°. The inequivalent atoms are Ce at (0.0000, 0.0000, 0.0000), V at (0.0000, 0.0000, 0.5000) and Os at (0.0000, 0.0000, 0.2185).

=====

# 8
## Al2GaAu2 (GGA-PBE)

Data for an optimized crystal structure of Al2GaAu2.

As for the formation energy from the elements: -0.9 eV per formula unit. The value obtained for the magnetic moment is 0.00 μB per formula unit.

It has space group I4/mmm (No. 139), with a = 3.999 Å, b = 3.999 Å, c = 12.067 Å, α = 90.00°, β = 90.00° and γ = 90.00°. The inequivalent atoms are Al at (0.000, 0.500, 0.250), Ga at (0.000, 0.000, 0.000) and Au at (0.000, 0.000, 0.385).

=====

# 9
## OsPbSe2 (GGA-PBE)

Data for an optimized crystal structure of OsPbSe2.

The value obtained for the magnetic moment is 0.00 μB per formula unit. For the formation energy (no corrections), the calculation gives 0.08 eV/atom.

It has space group P2/m (No. 10), with a = 4.908 Å, b = 3.821 Å, c = 5.386 Å, α = 90.00°, β = 116.17° and γ = 90.00°. The inequivalent atoms are Os at (0.000, 0.000, 0.000), Pb at (0.500, 0.000, 0.500) and Se at (0.212, 0.500, 0.842).

=====

# 10
## HgIrRu3 (GGA-PBE)

Data for an optimized crystal structure of HgIrRu3.

As for the formation energy from the elements: 8.2 eV per formula unit. The value obtained for the magnetic moment is 1.82 μB per formula unit.

It has space group Pm-3m (No. 221), with a = 4.722 Å, b = 4.722 Å, c = 4.722 Å, α = 90.00°, β = 90.00° and γ = 90.00°. The inequivalent atoms are Hg at (0.000, 0.000, 0.000), Ir at (0.500, 0.500, 0.500) and Ru at (0.000, 0.500, 0.500).

=====

# 11
## Gd2ErPu (GGA-PBE)

Data for an optimized crystal structure of Gd2ErPu.

As for the formation energy from the elements: 0.4 eV per formula unit. The value obtained for the magnetic moment is 8.60 μB per formula unit.

It has space group P4/mmm (No. 123), with a = 3.488 Å, b = 3.488 Å, c = 9.941 Å, α = 90.00°, β = 90.00° and γ = 90.00°. The inequivalent atoms are Gd at (0.000, 0.000, 0.244), Er at (0.500, 0.500, 0.500) and Pu at (0.500, 0.500, 0.000).

=====

# 12
## ZrPaTa2 (GGA-PBE)

Data for an optimized crystal structure of ZrPaTa2.

As for the formation energy from the elements: 0.8 eV per formula unit. The value obtained for the magnetic moment is 0.00 μB per formula unit.

It has space group P4/mmm (No. 123), with a = 3.464 Å, b = 3.464 Å, c = 6.986 Å, α = 90.00°, β = 90.00° and γ = 90.00°. The inequivalent atoms are Zr at (0.000, 0.000, 0.000), Pa at (0.000, 0.000, 0.500) and Ta at (0.500, 0.500, 0.265).

=====

# 13
## Dy4PtPbSe2 (GGA-PBE)

Data for an optimized crystal structure of Dy4PtPbSe2.

The value obtained for the magnetic moment is 0.00 μB per formula unit. For the formation energy (no corrections), the calculation gives -1.26 eV/atom.

It has space group P2/m (No. 10), with a = 7.129 Å, b = 4.041 Å, c = 7.639 Å, α = 90.00°, β = 108.26° and γ = 90.00°. The inequivalent atoms are Dy at (0.225, 0.000, 0.239), Dy at (0.233, 0.500, 0.737), Pt at (0.000, 0.500, 0.000), Pb at (0.500, 0.000, 0.000), Se at (0.000, 0.000, 0.500) and Se at (0.500, 0.500, 0.500).

=====

# 14
## Re2As (GGA-PBE)

Data for an optimized crystal structure of Re2As.

As for the formation energy from the elements: 2.5 eV per formula unit. The value obtained for the magnetic moment is 0.00 μB per formula unit.

It has space group P6/mmm (No. 191), with a = 4.3544 Å, b = 4.3544 Å, c = 3.0065 Å, α = 90.00°, β = 90.00° and γ = 120.00°. The inequivalent atoms are Re at (0.3333, 0.6667, 0.0000) and As at (0.0000, 0.0000, 0.5000).

=====

# 15
## Li4Y3Au4 (GGA-PBE)

Data for an optimized crystal structure of Li4Y3Au4.

As for the formation energy from the elements: -6.6 eV per formula unit. The value obtained for the magnetic moment is 0.00 μB per formula unit.

It has space group Immm (No. 71), with a = 4.038 Å, b = 7.786 Å, c = 14.409 Å, α = 90.00°, β = 90.00° and γ = 90.00°. The inequivalent atoms are Li at (0.000, 0.194, 0.176), Y at (0.000, 0.000, 0.379), Y at (0.000, 0.500, 0.500), Au at (0.000, 0.302, 0.000) and Au at (0.000, 0.500, 0.277).

=====

# 16
## TbNdY2 (GGA-PBE)

Data for an optimized crystal structure of TbNdY2.

As for the formation energy from the elements: 0.1 eV per formula unit. The value obtained for the magnetic moment is 0.00 μB per formula unit.

It has space group Imm2 (No. 44), with a = 3.671 Å, b = 11.487 Å, c = 6.326 Å, α = 90.00°, β = 90.00° and γ = 90.00°. The inequivalent atoms are Tb at (0.000, 0.000, 0.000), Nd at (0.000, 0.500, 0.003) and Y at (0.000, 0.252, 0.667).

=====

# 17
## PmDyY3Sc (GGA-PBE)

Data for an optimized crystal structure of PmDyY3Sc.

As for the formation energy from the elements: 0.2 eV per formula unit. The value obtained for the magnetic moment is 0.00 μB per formula unit.

It has space group Cmcm (No. 63), with a = 4.977 Å, b = 14.993 Å, c = 10.001 Å, α = 90.00°, β = 90.00° and γ = 90.00°. The inequivalent atoms are Pm at (0.000, 0.003, 0.250), Dy at (0.000, 0.500, 0.000), Y at (0.000, 0.167, 0.001), Y at (0.000, 0.331, 0.250) and Sc at (0.000, 0.333, 0.750).

=====

# 18
## Zr2BiPt2 (GGA-PBE)

Data for an optimized crystal structure of Zr2BiPt2.

As for the formation energy from the elements: -3.3 eV per formula unit. The value obtained for the magnetic moment is 0.00 μB per formula unit.

It has space group I4/mmm (No. 139), with a = 4.636 Å, b = 4.636 Å, c = 10.809 Å, α = 90.00°, β = 90.00° and γ = 90.00°. The inequivalent atoms are Zr at (0.000, 0.500, 0.250), Bi at (0.000, 0.000, 0.000) and Pt at (0.000, 0.000, 0.378).

=====

# 19
## MgSn3C (GGA-PBE)

Data for an optimized crystal structure of MgSn3C.

As for the formation energy from the elements: 8.7 eV per formula unit. The value obtained for the magnetic moment is 1.45 μB per formula unit.

It has space group Pm-3m (No. 221), with a = 5.362 Å, b = 5.362 Å, c = 5.362 Å, α = 90.00°, β = 90.00° and γ = 90.00°. The inequivalent atoms are Mg at (0.000, 0.000, 0.000), Sn at (0.000, 0.000, 0.500) and C at (0.500, 0.500, 0.500).

=====

# 20
## Ac6CuPt4 (GGA-PBE)

Data for an optimized crystal structure of Ac6CuPt4.

As for the formation energy from the elements: -9.8 eV per formula unit. The value obtained for the magnetic moment is 0.00 μB per formula unit.

It has space group Cmcm (No. 63), with a = 4.363 Å, b = 14.550 Å, c = 22.543 Å, α = 90.00°, β = 90.00° and γ = 90.00°. The inequivalent atoms are Ac at (0.000, 0.000, 0.000), Ac at (0.000, 0.187, 0.250), Ac at (0.000, 0.274, 0.582), Ac at (0.000, 0.457, 0.161), Cu at (0.000, 0.154, 0.750), Pt at (0.000, 0.093, 0.129) and Pt at (0.000, 0.363, 0.043).

=====

# 21
## Mn2SCl (GGA-PBE)

Data for an optimized crystal structure of Mn2SCl.

The value obtained for the magnetic moment is 0.00 μB per formula unit. For the formation energy (no corrections), the calculation gives 0.44 eV/atom.

It has space group Fm-3m (No. 225), with a = 5.750 Å, b = 5.750 Å, c = 5.750 Å, α = 90.00°, β = 90.00° and γ = 90.00°. The inequivalent atoms are Mn at (0.250, 0.250, 0.250), S at (0.000, 0.000, 0.000) and Cl at (0.000, 0.000, 0.500).

=====

# 22
## CuNiPd4 (GGA-PBE)

Data for an optimized crystal structure of CuNiPd4.

As for the formation energy from the elements: -0.2 eV per formula unit. The value obtained for the magnetic moment is 1.81 μB per formula unit.

It has space group P4/mmm (No. 123), with a = 2.766 Å, b = 2.766 Å, c = 11.126 Å, α = 90.00°, β = 90.00° and γ = 90.00°. The inequivalent atoms are Cu at (0.000, 0.000, 0.000), Ni at (0.500, 0.500, 0.500), Pd at (0.000, 0.000, 0.345) and Pd at (0.500, 0.500, 0.161).

=====

# 23
## MnBe2Ru (GGA-PBE)

Data for an optimized crystal structure of MnBe2Ru.

As for the formation energy from the elements: 0.4 eV per formula unit. The value obtained for the magnetic moment is 1.51 μB per formula unit.

It has space group R-3m (No. 166, hexagonal axes), with a = 2.5946 Å, b = 2.5946 Å, c = 22.6120 Å, α = 90.00°, β = 90.00° and γ = 120.00°. The inequivalent atoms are Mn at (0.0000, 0.0000, 0.0000), Be at (0.0000, 0.0000, 0.2505) and Ru at (0.0000, 0.0000, 0.5000).

=====

# 24
## Tb5Y4Er2 (GGA-PBE)

Data for an optimized crystal structure of Tb5Y4Er2.

As for the formation energy from the elements: 2.8 eV per formula unit. The value obtained for the magnetic moment is 0.00 μB per formula unit.

It has space group Immm (No. 71), with a = 3.506 Å, b = 9.030 Å, c = 23.254 Å, α = 90.00°, β = 90.00° and γ = 90.00°. The inequivalent atoms are Tb at (0.000, 0.000, 0.000), Tb at (0.000, 0.301, 0.354), Y at (0.000, 0.191, 0.500), Y at (0.000, 0.500, 0.098) and Er at (0.000, 0.500, 0.231).

=====

# 25
## YMgAgBr6 (GGA-PBE)

Data for an optimized crystal structure of YMgAgBr6.

The value obtained for the magnetic moment is 0.00 μB per formula unit. For the formation energy (no corrections), the calculation gives -1.37 eV/atom.

It has space group P-31c (No. 163), with a = 6.9817 Å, b = 6.9817 Å, c = 12.9112 Å, α = 90.00°, β = 90.00° and γ = 120.00°. The inequivalent atoms are Y at (0.3333, 0.6667, 0.2500), Mg at (0.3333, 0.6667, 0.7500), Ag at (0.0000, 0.0000, 0.0000) and Br at (0.0121, 0.3553, 0.6288).